## SrCa2Ag (PBE)

Data for a relaxed structure of SrCa2Ag.

abc: 7.0437 7.0437 3.7685
angles: 103.06 103.06 119.56
Closest atoms and distances in Å follow each position.
Element x y z (fractional)
1 Sr 0.0000 0.0000 0.0000  4 Ag 3.55-3.84, 4 Ca 3.60, 2 Sr 3.77
2 Ca 0.0000 0.5000 0.5000  6 Ca 3.55-3.84, 2 Sr 3.60, 2 Ag 3.60
3 Ca 0.5000 0.0000 0.5000  6 Ca 3.55-3.84, 2 Sr 3.60, 2 Ag 3.60
4 Ag 0.5000 0.5000 0.0000  4 Sr 3.55-3.84, 4 Ca 3.60, 2 Ag 3.77

Calculated values
The calculated total energy is -8.25 eV per cell. The energy relative to the elements comes out at 72 meV per atom. Its polymorph energy (0 for the lowest one) is 257 meV/atom.